Entry 1:
A plane-wave DFT calculation with PBE was carried out for a relaxed MgSc4Al2Pd crystal.

Lattice parameters (Å, degrees): 4.8351 4.8351 23.6401 90.00 90.00 120.00
Space group R-3m (No. 166, hexagonal axes)
Inequivalent atoms, fractional coordinates:
Mg (0.0000, 0.0000, 0.0000) [3 per cell]
Sc (0.0000, 0.0000, 0.1295) [6 per cell]
Sc (0.0000, 0.0000, 0.3816) [6 per cell]
Al (0.0000, 0.0000, 0.2554) [6 per cell]
Pd (0.0000, 0.0000, 0.5000) [3 per cell]

Energy relative to the elements in eV per atom: -0.47

***

Entry 2:
A plane-wave DFT calculation with PBE was carried out for a relaxed Mg2AlSi2Pd5 crystal.

Lattice parameters (Å, degrees): 9.727 9.727 3.358 90.00 90.00 90.00
Space group P4/mbm (No. 127)
Inequivalent atoms, fractional coordinates:
Mg (0.172, 0.328, 0.000) [4 per cell]
Al (0.000, 0.000, 0.000) [2 per cell]
Si (0.129, 0.629, 0.000) [4 per cell]
Pd (0.000, 0.500, 0.500) [2 per cell]
Pd (0.068, 0.798, 0.500) [8 per cell]

E_form (uncorrected) in meV per atom: -659.0

***

Entry 3:
A plane-wave DFT calculation with PBE was carried out for a relaxed SmMgAlPd crystal.

Lattice parameters (Å, degrees): 6.929 6.929 6.929 90.00 90.00 90.00
Space group F-43m (No. 216)
Inequivalent atoms, fractional coordinates:
Sm (0.000, 0.000, 0.000) [4 per cell]
Mg (0.000, 0.000, 0.500) [4 per cell]
Al (0.250, 0.250, 0.250) [4 per cell]
Pd (0.250, 0.250, 0.750) [4 per cell]

Energy relative to the elements in eV per atom: -0.50

***

Entry 4:
A plane-wave DFT calculation with PBE was carried out for a relaxed SmMg2AlPd4 crystal.

Lattice parameters (Å, degrees): 4.5700 4.5700 23.5632 90.00 90.00 120.00
Space group R-3m (No. 166, hexagonal axes)
Inequivalent atoms, fractional coordinates:
Sm (0.0000, 0.0000, 0.0000) [3 per cell]
Mg (0.0000, 0.0000, 0.2434) [6 per cell]
Al (0.0000, 0.0000, 0.5000) [3 per cell]
Pd (0.0000, 0.0000, 0.1300) [6 per cell]
Pd (0.0000, 0.0000, 0.3937) [6 per cell]

Energy relative to the elements in eV per atom: -0.76

***

For reference, total magnetic moment by record: 0.0 0.0 0.0 0.0 μB per formula unit.